A plane-wave DFT calculation with GGA-PBE was carried out for an optimized crystal structure of CaRe2Pb.

a b c (Å): 2.828 2.828 10.191
angles (deg): 90.00 90.00 90.00
Positions (direct):
Pb: 0.500 0.500 0.750
Re: 0.000 0.000 0.007
Re: 0.000 0.000 0.493
Ca: 0.500 0.500 0.250

Results
D(E_F) = 3.192 states/eV/f.u.
energy relative to the elements = 1.171 eV per atom
ρ = 12.63 Mg/m³


A plane-wave DFT calculation with GGA-PBE was carried out for an optimized crystal structure of CoC3.

a b c (Å): 7.649 7.649 3.018
angles (deg): 90.00 90.00 151.63
Each line ends with the local moment (μB).
Positions (direct):
C: 0.655 0.345 0.750  0.01
C: 0.345 0.655 0.250  0.01
C: 0.919 0.708 0.750  0.00
C: 0.708 0.919 0.250  0.00
C: 0.292 0.081 0.750  0.00
C: 0.081 0.292 0.250  0.00
Co: 0.440 0.560 0.750  0.26
Co: 0.560 0.440 0.250  0.26

Results
D(E_F) = 1.725 states/eV/f.u.
energy relative to the elements = 1.080 eV per atom
ρ = 3.76 Mg/m³